No. 1
Crystalline Th2UTl3Te6 at its relaxed geometry. Source: Alexandria, functional PBE-GGA.

Unit cell a=7.607 b=7.607 c=8.899 alpha=98.18 beta=98.18 gamma=120.00
Fractional coordinates of all 12 atoms:
Th: 0.166 0.834 0.000
Th: 0.834 0.166 0.000
U: 0.500 0.500 0.000
Tl: 0.000 0.000 0.500
Tl: 0.334 0.666 0.500
Tl: 0.666 0.334 0.500
Te: 0.094 0.426 0.777
Te: 0.243 0.243 0.224
Te: 0.426 0.094 0.777
Te: 0.574 0.906 0.223
Te: 0.757 0.757 0.776
Te: 0.906 0.574 0.223

Values from the calculation:
- M_tot (μB per atom) = 0.37
- uncorrected formation energy (eV/f.u.) = -8.8
- calculated volume (Å³ per atom) = 35.63
- total DFT energy (no corrections) (eV per atom) = -5.0695

No. 2
Crystalline ThTl3V2Te6 at its relaxed geometry. Source: Alexandria, functional PBE-GGA.

Unit cell a=7.323 b=7.323 c=8.521 alpha=98.30 beta=98.30 gamma=119.68
Fractional coordinates of all 12 atoms:
Th: 0.000 0.000 0.000
Tl: 0.155 0.845 0.500
Tl: 0.500 0.500 0.500
Tl: 0.845 0.155 0.500
V: 0.332 0.668 0.000
V: 0.668 0.332 0.000
Te: 0.068 0.431 0.203
Te: 0.301 0.301 0.807
Te: 0.431 0.068 0.203
Te: 0.569 0.932 0.797
Te: 0.699 0.699 0.193
Te: 0.932 0.569 0.797

Values from the calculation:
- M_tot (μB per atom) = 0.42
- uncorrected formation energy (eV/f.u.) = -6.0
- calculated volume (Å³ per atom) = 31.69
- total DFT energy (no corrections) (eV per atom) = -4.7977

No. 3
Crystalline YTh2Tl3Te6 at its relaxed geometry. Source: Alexandria, functional PBE-GGA.

Unit cell a=7.613 b=7.613 c=8.862 alpha=98.23 beta=98.23 gamma=119.97
Fractional coordinates of all 12 atoms:
Y: 0.000 0.000 0.000
Th: 0.334 0.666 0.000
Th: 0.666 0.334 0.000
Tl: 0.168 0.832 0.500
Tl: 0.500 0.500 0.500
Tl: 0.832 0.168 0.500
Te: 0.073 0.403 0.221
Te: 0.254 0.254 0.777
Te: 0.403 0.073 0.221
Te: 0.597 0.927 0.779
Te: 0.746 0.746 0.223
Te: 0.927 0.597 0.779

Values from the calculation:
- M_tot (μB per atom) = 0.00
- uncorrected formation energy (eV/f.u.) = -10.8
- calculated volume (Å³ per atom) = 35.53
- total DFT energy (no corrections) (eV per atom) = -4.8353

No. 4
Crystalline Y2ThTl3Te6 at its relaxed geometry. Source: Alexandria, functional PBE-GGA.

Unit cell a=7.666 b=7.666 c=8.709 alpha=98.44 beta=98.44 gamma=120.00
Fractional coordinates of all 12 atoms:
Y: 0.167 0.833 0.000
Y: 0.833 0.167 0.000
Th: 0.500 0.500 0.000
Tl: 0.000 0.000 0.500
Tl: 0.334 0.666 0.500
Tl: 0.666 0.334 0.500
Te: 0.091 0.427 0.782
Te: 0.236 0.236 0.218
Te: 0.427 0.091 0.782
Te: 0.573 0.909 0.218
Te: 0.764 0.764 0.782
Te: 0.909 0.573 0.218

Values from the calculation:
- M_tot (μB per atom) = 0.00
- uncorrected formation energy (eV/f.u.) = -11.8
- calculated volume (Å³ per atom) = 35.31
- total DFT energy (no corrections) (eV per atom) = -4.8397

Number 2 is which compound?
ThTl3V2Te6